No. 1
# Tm3CdNi8 (PBE, optimized geometry)
data_Tm3CdNi8
_chemical_formula_sum 'Tm9 Cd3 Ni24'
_cell_length_a 4.9754
_cell_length_b 4.9754
_cell_length_c 24.4599
_cell_angle_alpha 90.00
_cell_angle_beta 90.00
_cell_angle_gamma 120.00
_symmetry_space_group_name_H-M 'R 3 m'
_symmetry_Int_Tables_number 160
_symmetry_space_group_name_Hall 'R 3 -2"'
loop_
_atom_site_label
_atom_site_fract_x
_atom_site_fract_y
_atom_site_fract_z
Tm1 0.0000 0.0000 0.0000
Tm2 0.0000 0.0000 0.1282
Tm3 0.0000 0.0000 0.6179
Cd1 0.0000 0.0000 0.4962
Ni1 0.0000 0.0000 0.3112
Ni2 0.0000 0.0000 0.8110
Ni3 0.0001 0.5001 0.0604
Ni4 0.0033 0.5016 0.5615
# Energy relative to the elements ... -0.446 eV/atom

No. 2
Computed, not measured: a relaxed ReBiPb3 crystal at the PBE level of DFT.

```
data_ReBiPb3
_chemical_formula_sum 'Re4 Bi4 Pb12'
_cell_length_a 4.743
_cell_length_b 27.341
_cell_length_c 4.521
_cell_angle_alpha 90.00
_cell_angle_beta 90.00
_cell_angle_gamma 90.00
_symmetry_space_group_name_H-M 'C m m m'
_symmetry_Int_Tables_number 65
_symmetry_space_group_name_Hall '-C 2 2'
loop_
_atom_site_label
_atom_site_fract_x
_atom_site_fract_y
_atom_site_fract_z
Re1 0.000 0.115 0.000
Bi1 0.000 0.345 0.500
Pb1 0.000 0.057 0.500
Pb2 0.000 0.215 0.000
Pb3 0.000 0.441 0.000
```

Number 1: calculated total energy -5.35 eV/atom. Number 2: calculated total energy -4.81 eV/atom.